HfRhO2: relaxed, PBE-GGA.

Structure (CIF):
```
data_HfRhO2
_space_group_name_H-M_alt 'F m -3 m'
_space_group_IT_number 225
_space_group_name_Hall '-F 4 2 3'
_cell_length_a 5.6300
_cell_length_b 5.6300
_cell_length_c 5.6300
_cell_angle_alpha 90.00
_cell_angle_beta 90.00
_cell_angle_gamma 90.00
loop_
_atom_site_label
_atom_site_type_symbol
_atom_site_fract_x
_atom_site_fract_y
_atom_site_fract_z
Hf1 Hf 0.0000 0.0000 0.0000
Rh1 Rh 0.0000 0.0000 0.5000
O1 O 0.2500 0.2500 0.2500
```

***

HfRhO2: relaxed, PBE-GGA.

Structure (CIF):
```
data_HfRhO2
_space_group_name_H-M_alt 'I -4 2 d'
_space_group_IT_number 122
_space_group_name_Hall 'I -4 2bw'
_cell_length_a 4.1691
_cell_length_b 4.1691
_cell_length_c 12.3308
_cell_angle_alpha 90.00
_cell_angle_beta 90.00
_cell_angle_gamma 90.00
loop_
_atom_site_label
_atom_site_type_symbol
_atom_site_fract_x
_atom_site_fract_y
_atom_site_fract_z
Hf1 Hf 0.0000 0.0000 0.0000
Rh1 Rh 0.0000 0.0000 0.5000
O1 O 0.2143 0.2500 0.1250
```

***

HfRhO3: relaxed, PBE-GGA.

Structure (CIF):
```
data_HfRhO3
_space_group_name_H-M_alt 'P m -3 m'
_space_group_IT_number 221
_space_group_name_Hall '-P 4 2 3'
_cell_length_a 3.8721
_cell_length_b 3.8721
_cell_length_c 3.8721
_cell_angle_alpha 90.00
_cell_angle_beta 90.00
_cell_angle_gamma 90.00
loop_
_atom_site_label
_atom_site_type_symbol
_atom_site_fract_x
_atom_site_fract_y
_atom_site_fract_z
Hf1 Hf 0.0000 0.0000 0.0000
Rh1 Rh 0.5000 0.5000 0.5000
O1 O 0.0000 0.5000 0.5000
```

***

Hf6RhO: relaxed, PBE-GGA.

Structure (CIF):
```
data_Hf6RhO
_space_group_name_H-M_alt 'P -1'
_space_group_IT_number 2
_space_group_name_Hall '-P 1'
_cell_length_a 5.0403
_cell_length_b 5.6612
_cell_length_c 5.8328
_cell_angle_alpha 97.56
_cell_angle_beta 114.23
_cell_angle_gamma 90.76
loop_
_atom_site_label
_atom_site_type_symbol
_atom_site_fract_x
_atom_site_fract_y
_atom_site_fract_z
Hf1 Hf 0.0665 0.2898 0.1482
Hf2 Hf 0.2336 0.8365 0.4797
Hf3 Hf 0.4028 0.3705 0.7538
Rh1 Rh 0.5000 0.0000 0.0000
O1 O 0.0000 0.5000 0.5000
```

***

HfRhO3: relaxed, PBE-GGA.

Structure (CIF):
```
data_HfRhO3
_space_group_name_H-M_alt 'P m -3 m'
_space_group_IT_number 221
_space_group_name_Hall '-P 4 2 3'
_cell_length_a 4.0499
_cell_length_b 4.0499
_cell_length_c 4.0499
_cell_angle_alpha 90.00
_cell_angle_beta 90.00
_cell_angle_gamma 90.00
loop_
_atom_site_label
_atom_site_type_symbol
_atom_site_fract_x
_atom_site_fract_y
_atom_site_fract_z
Hf1 Hf 0.0000 0.0000 0.0000
Rh1 Rh 0.5000 0.5000 0.5000
O1 O 0.0000 0.0000 0.5000
```

***

Hf6Rh2O: relaxed, PBE-GGA.

Structure (CIF):
```
data_Hf6Rh2O
_space_group_name_H-M_alt 'P 1 21/c 1'
_space_group_IT_number 14
_space_group_name_Hall '-P 2ybc'
_cell_length_a 5.7957
_cell_length_b 6.3060
_cell_length_c 10.5545
_cell_angle_alpha 90.00
_cell_angle_beta 119.66
_cell_angle_gamma 90.00
loop_
_atom_site_label
_atom_site_type_symbol
_atom_site_fract_x
_atom_site_fract_y
_atom_site_fract_z
Hf1 Hf 0.1010 0.0256 0.2484
Hf2 Hf 0.2073 0.6820 0.0518
Hf3 Hf 0.3851 0.1924 0.0521
Rh1 Rh 0.3433 0.1110 0.7577
O1 O 0.0000 0.0000 0.0000
```

***

Hf12Rh6O: relaxed, PBE-GGA.

Structure (CIF):
```
data_Hf12Rh6O
_space_group_name_H-M_alt 'R -3'
_space_group_IT_number 148
_space_group_name_Hall '-R 3'
_cell_length_a 11.3001
_cell_length_b 11.3001
_cell_length_c 10.3711
_cell_angle_alpha 90.00
_cell_angle_beta 90.00
_cell_angle_gamma 120.00
loop_
_atom_site_label
_atom_site_type_symbol
_atom_site_fract_x
_atom_site_fract_y
_atom_site_fract_z
Hf1 Hf 0.0305 0.8308 0.3846
Hf2 Hf 0.0525 0.8695 0.8713
Rh1 Rh 0.0440 0.6127 0.3078
O1 O 0.0000 0.0000 0.0000
```

***

HfRhO2: relaxed, PBE-GGA.

Structure (CIF):
```
data_HfRhO2
_space_group_name_H-M_alt 'R -3 m'
_space_group_IT_number 166
_space_group_name_Hall '-R 3 2"'
_cell_length_a 3.3044
_cell_length_b 3.3044
_cell_length_c 17.3784
_cell_angle_alpha 90.00
_cell_angle_beta 90.00
_cell_angle_gamma 120.00
loop_
_atom_site_label
_atom_site_type_symbol
_atom_site_fract_x
_atom_site_fract_y
_atom_site_fract_z
Hf1 Hf 0.0000 0.0000 0.0000
Rh1 Rh 0.0000 0.0000 0.5000
O1 O 0.0000 0.0000 0.3828
```

***

Hf2RhO: relaxed, PBE-GGA.

Structure (CIF):
```
data_Hf2RhO
_space_group_name_H-M_alt 'I -4 2 d'
_space_group_IT_number 122
_space_group_name_Hall 'I -4 2bw'
_cell_length_a 5.4849
_cell_length_b 5.4849
_cell_length_c 9.9899
_cell_angle_alpha 90.00
_cell_angle_beta 90.00
_cell_angle_gamma 90.00
loop_
_atom_site_label
_atom_site_type_symbol
_atom_site_fract_x
_atom_site_fract_y
_atom_site_fract_z
Hf1 Hf 0.1782 0.2500 0.1250
Rh1 Rh 0.0000 0.0000 0.5000
O1 O 0.0000 0.0000 0.0000
```

***

HfSc2RhO: relaxed, PBE-GGA.

Structure (CIF):
```
data_HfSc2RhO
_space_group_name_H-M_alt 'P 4/m m m'
_space_group_IT_number 123
_space_group_name_Hall '-P 4 2'
_cell_length_a 4.2793
_cell_length_b 4.2793
_cell_length_c 4.4522
_cell_angle_alpha 90.00
_cell_angle_beta 90.00
_cell_angle_gamma 90.00
loop_
_atom_site_label
_atom_site_type_symbol
_atom_site_fract_x
_atom_site_fract_y
_atom_site_fract_z
Hf1 Hf 0.0000 0.0000 0.0000
Sc1 Sc 0.0000 0.5000 0.5000
Rh1 Rh 0.5000 0.5000 0.0000
O1 O 0.0000 0.0000 0.5000
```

***

HfTeRhO6: relaxed, PBE-GGA.

Structure (CIF):
```
data_HfTeRhO6
_space_group_name_H-M_alt 'P -3 1 c'
_space_group_IT_number 163
_space_group_name_Hall '-P 3 2c'
_cell_length_a 5.3723
_cell_length_b 5.3723
_cell_length_c 8.7604
_cell_angle_alpha 90.00
_cell_angle_beta 90.00
_cell_angle_gamma 120.00
loop_
_atom_site_label
_atom_site_type_symbol
_atom_site_fract_x
_atom_site_fract_y
_atom_site_fract_z
Hf1 Hf 0.3333 0.6667 0.2500
Te1 Te 0.3333 0.6667 0.7500
Rh1 Rh 0.0000 0.0000 0.0000
O1 O 0.0015 0.3361 0.6267
```

***

HfTi2RhO: relaxed, PBE-GGA.

Structure (CIF):
```
data_HfTi2RhO
_space_group_name_H-M_alt 'P 4/m m m'
_space_group_IT_number 123
_space_group_name_Hall '-P 4 2'
_cell_length_a 4.0768
_cell_length_b 4.0768
_cell_length_c 4.3971
_cell_angle_alpha 90.00
_cell_angle_beta 90.00
_cell_angle_gamma 90.00
loop_
_atom_site_label
_atom_site_type_symbol
_atom_site_fract_x
_atom_site_fract_y
_atom_site_fract_z
Hf1 Hf 0.0000 0.0000 0.0000
Ti1 Ti 0.0000 0.5000 0.5000
Rh1 Rh 0.5000 0.5000 0.0000
O1 O 0.0000 0.0000 0.5000
```

***

The records above yield energy relative to the elements, uncorrected values of -1.213, -1.647, -0.785, -0.837, -1.530, -0.938, -0.570, -1.953, -1.342, -1.418, -1.514, -1.323 eV/atom, respectively.